LiIr2Os | GGA-PBE | relaxed

a b c (Å): 2.730 4.624 9.202
angles (deg): 90.00 90.00 90.00
Space group Cmm2 (No. 35)
Unique sites:
Li1 0.000 0.000 0.000 x2
Ir1 0.000 0.000 0.502 x2
Ir2 0.000 0.500 0.759 x2
Os1 0.000 0.500 0.255 x2

Summary:
E_form: 0.285 eV per atom
Energy: -7.43 eV/atom

---

LiIr2Os | GGA-PBE | relaxed

a b c (Å): 3.889 3.889 3.663
angles (deg): 90.00 90.00 90.00
Space group P4/mmm (No. 123)
Unique sites:
Li1 0.000 0.000 0.000 x1
Ir1 0.000 0.500 0.500 x2
Os1 0.500 0.500 0.000 x1

Summary:
E_form: 0.206 eV per atom
Energy: -7.51 eV/atom

---

LiIrOs2 | GGA-PBE | relaxed

a b c (Å): 2.800 2.800 6.699
angles (deg): 90.00 90.00 90.00
Space group P4/mmm (No. 123)
Unique sites:
Li1 0.000 0.000 0.000 x1
Ir1 0.000 0.000 0.500 x1
Os1 0.500 0.500 0.224 x2

Summary:
E_form: 0.378 eV per atom
Energy: -7.93 eV/atom

---

Which value of E_form does entry 1 give? 0.285 eV per atom